Computed, not measured: an optimized crystal structure of ZnPCl2 at the GGA-PBEsol level of DFT.

Output
Energy above the lowest structure with this stoichiometry: 223.2 meV per atom
Formation energy (no corrections): 0.118 eV/atom

Unit cell a=3.196 b=4.347 c=13.134 alpha=90.00 beta=90.00 gamma=90.00
Space group Immm (No. 71)
Unique sites:
Zn 0.000 0.000 0.000 x2
P 0.000 0.000 0.500 x2
Cl 0.000 0.500 0.358 x4


Computed, not measured: an optimized crystal structure of ZnPCl2 at the GGA-PBEsol level of DFT.

Output
Energy above the lowest structure with this stoichiometry: 0.0 meV per atom
Formation energy (no corrections): -0.105 eV/atom

Unit cell a=3.366 b=6.091 c=8.296 alpha=90.00 beta=90.00 gamma=90.00
Space group Cmm2 (No. 35)
Unique sites:
Zn 0.000 0.000 0.000 x2
P 0.000 0.500 0.789 x2
Cl 0.000 0.000 0.581 x2
Cl 0.000 0.500 0.188 x2


Computed, not measured: an optimized crystal structure of ZrP2Cl at the GGA-PBEsol level of DFT.

Output
Energy above the lowest structure with this stoichiometry: 792.3 meV per atom
Formation energy (no corrections): 0.081 eV/atom

Unit cell a=6.510 b=6.510 c=6.510 alpha=90.00 beta=90.00 gamma=90.00
Space group Fm-3m (No. 225)
Unique sites:
Zr 0.000 0.000 0.000 x4
P 0.250 0.250 0.250 x8
Cl 0.000 0.000 0.500 x4


Computed, not measured: an optimized crystal structure of Zr2PCl at the GGA-PBEsol level of DFT.

Output
Formation energy (no corrections): -1.196 eV/atom

Unit cell a=3.454 b=3.477 c=11.879 alpha=90.00 beta=90.00 gamma=90.00
Space group Imm2 (No. 44)
Unique sites:
Zr 0.000 0.000 0.000 x2
Zr 0.000 0.500 0.241 x2
P 0.000 0.000 0.579 x2
Cl 0.000 0.500 0.828 x2


Computed, not measured: an optimized crystal structure of ZrPCl2 at the GGA-PBEsol level of DFT.

Output
Energy above the lowest structure with this stoichiometry: 386.1 meV per atom
Formation energy (no corrections): -0.535 eV/atom

Unit cell a=3.021 b=3.021 c=8.993 alpha=90.00 beta=90.00 gamma=90.00
Space group P4/mmm (No. 123)
Unique sites:
Zr 0.000 0.000 0.000 x1
P 0.000 0.000 0.500 x1
Cl 0.500 0.500 0.172 x2


Computed, not measured: an optimized crystal structure of ZrPCl2 at the GGA-PBEsol level of DFT.

Output
Energy above the lowest structure with this stoichiometry: 490.5 meV per atom
Formation energy (no corrections): -0.430 eV/atom

Unit cell a=3.098 b=4.433 c=5.032 alpha=90.00 beta=90.00 gamma=90.00
Space group Pmmm (No. 47)
Unique sites:
Zr 0.000 0.000 0.000 x1
P 0.500 0.000 0.500 x1
Cl 0.000 0.500 0.500 x1
Cl 0.500 0.500 0.000 x1


Computed, not measured: an optimized crystal structure of ZrP2Cl at the GGA-PBEsol level of DFT.

Output
Energy above the lowest structure with this stoichiometry: 0.0 meV per atom
Formation energy (no corrections): -0.712 eV/atom

Unit cell a=3.510 b=3.510 c=5.903 alpha=90.00 beta=90.00 gamma=90.00
Space group P4/mmm (No. 123)
Unique sites:
Zr 0.000 0.000 0.000 x1
P 0.500 0.500 0.188 x2
Cl 0.000 0.000 0.500 x1


Computed, not measured: an optimized crystal structure of ZrPCl at the GGA-PBEsol level of DFT.

Output
Formation energy (no corrections): -1.104 eV/atom

Unit cell a=3.6464 b=3.6464 c=5.9903 alpha=90.00 beta=90.00 gamma=120.00
Space group P3m1 (No. 156)
Unique sites:
Zr 0.0000 0.0000 0.0000 x1
P 0.6667 0.3333 0.2244 x1
Cl 0.3333 0.6667 0.7181 x1


What did the first record say?
Computed, not measured: an optimized crystal structure of ZnPCl2 at the GGA-PBEsol level of DFT.

Output
Energy above the lowest structure with this stoichiometry: 223.2 meV per atom
Formation energy (no corrections): 0.118 eV/atom

Unit cell a=3.196 b=4.347 c=13.134 alpha=90.00 beta=90.00 gamma=90.00
Space group Immm (No. 71)
Unique sites:
Zn 0.000 0.000 0.000 x2
P 0.000 0.000 0.500 x2
Cl 0.000 0.500 0.358 x4


- Look up the formation energy (no corrections) of the first one.
  0.118 eV/atom